# 1
KRb2MoI | Alexandria via LeMat-Bulk | GGA-PBE | relaxed; mass density = 2.2 g cm⁻³; raw total energy = -2.49 eV/atom; volume = 64.083 Å³ per atom
1.0
7.553 0.000 0.000
0.000 7.553 0.000
0.000 0.000 5.616
K Rb Mo I
1 2 1 1
Direct
0.000 0.000 0.000
0.000 0.500 0.500
0.500 0.000 0.500
0.500 0.500 0.500
0.500 0.500 0.000

# 2
KMo2RuI | Alexandria via LeMat-Bulk | GGA-PBE | relaxed; mass density = 5.4 g cm⁻³; raw total energy = -5.52 eV/atom; volume = 28.253 Å³ per atom
1.0
4.828 0.000 0.000
0.000 4.828 0.000
0.000 0.000 6.061
K Mo Ru I
1 2 1 1
Direct
0.000 0.000 0.000
0.000 0.500 0.500
0.500 0.000 0.500
0.500 0.500 0.500
0.500 0.500 0.000

# 3
KMoSI2 | Alexandria via LeMat-Bulk | GGA-PBE | relaxed; mass density = 3.5 g cm⁻³; raw total energy = -3.76 eV/atom; volume = 39.389 Å³ per atom
1.0
6.601 0.000 0.000
0.000 6.601 0.000
0.000 0.000 4.520
K Mo S I
1 1 1 2
Direct
0.000 0.000 0.000
0.500 0.500 0.000
0.500 0.500 0.500
0.000 0.500 0.500
0.500 0.000 0.500

# 4
KTe2MoI | Alexandria via LeMat-Bulk | GGA-PBE | relaxed; mass density = 5.0 g cm⁻³; raw total energy = -4.13 eV/atom; volume = 34.587 Å³ per atom
1.0
5.284 0.000 0.000
0.000 5.284 0.000
0.000 0.000 6.195
K Te Mo I
1 2 1 1
Direct
0.000 0.000 0.000
0.000 0.500 0.500
0.500 0.000 0.500
0.500 0.500 0.500
0.500 0.500 0.000

# 5
KTe2MoI | Alexandria via LeMat-Bulk | GGA-PBE | relaxed; mass density = 3.6 g cm⁻³; raw total energy = -2.67 eV/atom; volume = 48.121 Å³ per atom
1.0
6.258 0.000 0.000
0.000 6.258 0.000
0.000 0.000 6.144
K Te Mo I
1 2 1 1
Direct
0.000 0.000 0.000
0.000 0.500 0.000
0.500 0.000 0.000
0.500 0.500 0.500
0.000 0.000 0.500

# 6
KTeMoI2 | Alexandria via LeMat-Bulk | GGA-PBE | relaxed; mass density = 3.4 g cm⁻³; raw total energy = -2.64 eV/atom; volume = 50.222 Å³ per atom
1.0
6.314 0.000 0.000
0.000 6.314 0.000
0.000 0.000 6.298
K Te Mo I
1 1 1 2
Direct
0.000 0.000 0.000
0.000 0.000 0.500
0.500 0.500 0.500
0.000 0.500 0.000
0.500 0.000 0.000

# 7
KTeMoI2 | Alexandria via LeMat-Bulk | GGA-PBE | relaxed; mass density = 4.6 g cm⁻³; raw total energy = -3.89 eV/atom; volume = 37.276 Å³ per atom
1.0
5.918 0.000 0.000
0.000 5.918 0.000
0.000 0.000 5.322
K Te Mo I
1 1 1 2
Direct
0.000 0.000 0.000
0.500 0.500 0.000
0.500 0.500 0.500
0.000 0.500 0.500
0.500 0.000 0.500

# 8
KTlMoI6 | Alexandria via LeMat-Bulk | GGA-PBE | relaxed; mass density = 4.5 g cm⁻³; raw total energy = -3.16 eV/atom; volume = 45.425 Å³ per atom
1.0
8.122 0.000 0.000
-4.061 7.034 0.000
0.000 0.000 14.312
K Tl Mo I
2 2 2 12
Direct
0.000 0.000 0.000
0.000 0.000 0.500
0.333 0.667 0.250
0.667 0.333 0.750
0.333 0.667 0.750
0.667 0.333 0.250
0.051 0.390 0.637
0.051 0.661 0.863
0.339 0.390 0.863
0.339 0.949 0.637
0.390 0.051 0.137
0.390 0.339 0.363
0.610 0.661 0.637
0.610 0.949 0.863
0.661 0.051 0.363
0.661 0.610 0.137
0.949 0.339 0.137
0.949 0.610 0.363